# 1
DFT (GGA-PBE) results for a relaxed La2Ga7Pd crystal.

Cell lengths 4.378, 4.378, 10.622 Å; angles 90.00, 90.00, 90.00 degrees
Sites, in units of the cell vectors:
La 0.000 0.500 0.248
La 0.500 0.000 0.752
Ga 0.000 0.000 0.000
Ga 0.000 0.000 0.500
Ga 0.000 0.500 0.637
Ga 0.000 0.500 0.873
Ga 0.500 0.000 0.127
Ga 0.500 0.000 0.363
Ga 0.500 0.500 0.500
Pd 0.500 0.500 0.000

***

# 2
DFT (GGA-PBE) results for a relaxed PrCdCo crystal.

Cell lengths 5.320, 4.007, 6.554 Å; angles 90.00, 98.85, 90.00 degrees
Sites, in units of the cell vectors:
Pr 0.073 0.250 0.271
Pr 0.927 0.750 0.729
Cd 0.432 0.250 0.836
Cd 0.568 0.750 0.164
Co 0.410 0.750 0.534
Co 0.590 0.250 0.466

***

no.,VASP energy (eV/atom),total magnetization (μB/cell)
1,-4.2397,0.0
2,-4.3435,1.3